DyYEr2P4, optimized geometry, DFT PBE-GGA; E = -6.85 eV/atom; ΔH_f (0 K) = -1.62 eV/atom; total magnetic moment = 0.0 μB per formula unit; D(E_F) = 0.94 states/eV/f.u.
1.0
3.991 0.000 0.000
0.000 6.909 0.120
0.000 -2.416 6.472
Dy Y Er P
1 1 2 4
Direct
0.500 0.500 0.000
0.000 0.000 0.000
0.500 0.000 0.500
0.000 0.500 0.500
0.500 0.251 0.253
0.500 0.749 0.747
0.000 0.249 0.747
0.000 0.751 0.253

***

DyY3Er2P6, optimized geometry, DFT PBE-GGA; E = -7.09 eV/atom; ΔH_f (0 K) = -1.62 eV/atom; total magnetic moment = 0.0 μB per formula unit; D(E_F) = 1.70 states/eV/f.u.
1.0
6.923 0.000 0.001
-3.460 5.997 0.001
-1.154 -1.998 6.529
Dy Y Er P
1 3 2 6
Direct
0.000 0.000 0.000
0.166 0.834 0.500
0.834 0.166 0.500
0.500 0.500 0.500
0.333 0.667 0.000
0.667 0.333 0.000
0.917 0.583 0.752
0.748 0.748 0.248
0.083 0.417 0.248
0.583 0.917 0.752
0.252 0.252 0.752
0.417 0.083 0.248

***

Dy2Y3ErP6, optimized geometry, DFT PBE-GGA; E = -7.09 eV/atom; ΔH_f (0 K) = -1.62 eV/atom; total magnetic moment = 0.0 μB per formula unit; D(E_F) = 1.69 states/eV/f.u.
1.0
-4.457 -4.806 2.263
4.399 -1.501 -5.147
4.437 0.061 5.330
Dy Y Er P
2 3 1 6
Direct
0.333 0.667 0.000
0.667 0.333 0.000
0.167 0.833 0.500
0.833 0.167 0.500
0.500 0.500 0.500
0.000 0.000 0.000
0.917 0.585 0.752
0.751 0.751 0.249
0.083 0.415 0.248
0.585 0.917 0.752
0.249 0.249 0.751
0.415 0.083 0.248

***

Dy3YEr2P6, optimized geometry, DFT PBE-GGA; E = -6.77 eV/atom; ΔH_f (0 K) = -1.62 eV/atom; total magnetic moment = 0.0 μB per formula unit; D(E_F) = 1.73 states/eV/f.u.
1.0
-2.430 4.287 4.859
-4.283 -2.603 -4.771
1.007 -5.658 3.854
Dy Y Er P
3 1 2 6
Direct
0.166 0.834 0.500
0.834 0.166 0.500
0.500 0.500 0.500
0.000 0.000 0.000
0.333 0.667 0.000
0.667 0.333 0.000
0.917 0.582 0.751
0.748 0.748 0.249
0.083 0.418 0.249
0.582 0.917 0.751
0.252 0.252 0.751
0.418 0.083 0.249

***

Dy2ErZrP4, optimized geometry, DFT PBE-GGA; E = -7.05 eV/atom; ΔH_f (0 K) = -1.56 eV/atom; total magnetic moment = 0.0 μB per formula unit; D(E_F) = 1.54 states/eV/f.u.
1.0
-1.365 -3.514 1.060
0.259 -2.052 -6.467
5.919 -1.384 3.032
Dy Er Zr P
2 1 1 4
Direct
0.500 0.000 0.500
0.000 0.500 0.500
0.500 0.500 0.000
0.000 0.000 0.000
0.500 0.240 0.239
0.500 0.760 0.761
0.000 0.246 0.757
0.000 0.754 0.243

***

DyErZr2P4, optimized geometry, DFT PBE-GGA; E = -7.47 eV/atom; ΔH_f (0 K) = -1.48 eV/atom; total magnetic moment = 0.0 μB per formula unit; D(E_F) = 4.02 states/eV/f.u.
1.0
-2.821 0.407 2.567
-0.607 -6.611 0.382
4.468 2.090 4.579
Dy Er Zr P
1 1 2 4
Direct
0.500 0.500 0.000
0.000 0.000 0.000
0.500 0.000 0.500
0.000 0.500 0.500
0.500 0.253 0.262
0.500 0.747 0.738
0.000 0.245 0.737
0.000 0.755 0.263

***

DyErPa, optimized geometry, DFT PBE-GGA; E = -6.02 eV/atom; ΔH_f (0 K) = 0.20 eV/atom; total magnetic moment = 0.8 μB per formula unit; D(E_F) = 6.41 states/eV/f.u.; E above lowest polymorph = 90 meV per atom
1.0
-0.953 -3.363 4.138
-3.625 -3.989 -0.532
4.893 -4.147 -2.244
Dy Er Pa
2 2 2
Direct
0.629 0.979 0.291
0.962 0.312 0.291
0.295 0.645 0.553
0.295 0.645 0.029
0.629 0.979 0.791
0.962 0.312 0.791

***

DyErPa4, optimized geometry, DFT PBE-GGA; E = -7.63 eV/atom; ΔH_f (0 K) = 0.23 eV/atom; total magnetic moment = 0.0 μB per formula unit; D(E_F) = 16.88 states/eV/f.u.
1.0
6.143 0.000 0.000
3.071 5.320 0.000
3.071 1.773 5.016
Pa Dy Er
4 1 1
Direct
0.625 0.625 0.125
0.625 0.125 0.625
0.625 0.625 0.625
0.125 0.625 0.625
0.250 0.250 0.250
0.000 0.000 0.000

***

DyErPa, optimized geometry, DFT PBE-GGA; E = -6.08 eV/atom; ΔH_f (0 K) = 0.14 eV/atom; total magnetic moment = 0.0 μB per formula unit; D(E_F) = 5.30 states/eV/f.u.; E above lowest polymorph = 32 meV per atom
1.0
-1.977 2.588 0.956
-1.547 -0.065 -3.021
-3.288 -6.111 3.721
Er Pa Dy
1 1 1
Direct
0.990 0.990 0.981
0.334 0.334 0.668
0.676 0.676 0.351

***

DyErPa, optimized geometry, DFT PBE-GGA; E = -6.11 eV/atom; ΔH_f (0 K) = 0.11 eV/atom; total magnetic moment = 0.0 μB per formula unit; D(E_F) = 4.34 states/eV/f.u.; E above lowest polymorph = 0 meV per atom
1.0
-1.485 -2.476 1.818
3.354 0.553 0.291
-1.454 5.501 6.304
Pa Dy Er
1 1 1
Direct
0.000 0.000 0.001
0.333 0.667 0.679
0.667 0.333 0.320

***

Dy2ErPa, optimized geometry, DFT PBE-GGA; E = -5.52 eV/atom; ΔH_f (0 K) = 0.30 eV/atom; total magnetic moment = 0.2 μB per formula unit; D(E_F) = 7.82 states/eV/f.u.; E above lowest polymorph = 185 meV per atom
1.0
-0.296 -1.612 3.087
1.198 -5.058 -2.526
5.633 0.844 0.981
Pa Dy Er
1 2 1
Direct
0.500 0.500 0.500
0.000 0.000 0.500
0.000 0.500 0.000
0.500 0.000 0.000

***

Dy2ErPa, optimized geometry, DFT PBE-GGA; E = -5.71 eV/atom; ΔH_f (0 K) = 0.11 eV/atom; total magnetic moment = 0.0 μB per formula unit; D(E_F) = 6.01 states/eV/f.u.; E above lowest polymorph = 0 meV per atom
1.0
3.422 0.000 0.000
1.711 2.964 0.000
1.711 0.988 11.462
Dy Er Pa
2 1 1
Direct
0.085 0.085 0.744
0.248 0.248 0.257
0.666 0.666 0.001
0.501 0.501 0.498